1.
# La4Pm11Y9, relaxed, DFT PBE
data_La4Pm11Y9
_cell_length_a 20.947
_cell_length_b 21.675
_cell_length_c 3.601
_cell_angle_alpha 90.00
_cell_angle_beta 90.00
_cell_angle_gamma 90.00
_space_group_name_H-M_alt 'C m m m'
_space_group_IT_number 65
_space_group_name_Hall '-C 2 2'
loop_
_atom_site_label
_atom_site_fract_x
_atom_site_fract_y
_atom_site_fract_z
La1 0.134 0.086 0.000
Pm1 0.000 0.160 0.500
Pm2 0.000 0.332 0.500
Pm3 0.000 0.500 0.500
Pm4 0.241 0.500 0.500
Pm5 0.247 0.332 0.500
Y1 0.000 0.000 0.000
Y2 0.121 0.415 0.000
Y3 0.124 0.249 0.000
# Crystal system: orthorhombic



2.
# LaPm8Y6, relaxed, DFT PBE
data_LaPm8Y6
_cell_length_a 9.1642
_cell_length_b 9.1642
_cell_length_c 21.0642
_cell_angle_alpha 90.00
_cell_angle_beta 90.00
_cell_angle_gamma 120.00
_space_group_name_H-M_alt 'R -3'
_space_group_IT_number 148
_space_group_name_Hall '-R 3'
loop_
_atom_site_label
_atom_site_fract_x
_atom_site_fract_y
_atom_site_fract_z
La1 0.0000 0.0000 0.0000
Pm1 0.0000 0.0000 0.4227
Pm2 0.0799 0.5217 0.8063
Y1 0.0435 0.8024 0.7067
# Crystal system: trigonal



3.
# La7Pm2Y, relaxed, DFT PBE
data_La7Pm2Y
_cell_length_a 9.014
_cell_length_b 16.344
_cell_length_c 5.643
_cell_angle_alpha 90.00
_cell_angle_beta 90.00
_cell_angle_gamma 90.00
_space_group_name_H-M_alt 'C m m m'
_space_group_IT_number 65
_space_group_name_Hall '-C 2 2'
loop_
_atom_site_label
_atom_site_fract_x
_atom_site_fract_y
_atom_site_fract_z
La1 0.000 0.000 0.000
La2 0.000 0.260 0.500
La3 0.186 0.386 0.000
Pm1 0.000 0.201 0.000
Y1 0.000 0.500 0.500
# Crystal system: orthorhombic



4.
# La4Pm4Y3, relaxed, DFT PBE
data_La4Pm4Y3
_cell_length_a 23.786
_cell_length_b 3.745
_cell_length_c 9.374
_cell_angle_alpha 90.00
_cell_angle_beta 111.07
_cell_angle_gamma 90.00
_space_group_name_H-M_alt 'C 1 2/m 1'
_space_group_IT_number 12
loop_
_space_group_symop_operation_xyz
'x,y,z'
'-x,-y,-z'
'-x,y,-z'
'x,-y,z'
'x+1/2,y+1/2,z'
'-x+1/2,-y+1/2,-z'
'-x+1/2,y+1/2,-z'
'x+1/2,-y+1/2,z'
loop_
_atom_site_label
_atom_site_fract_x
_atom_site_fract_y
_atom_site_fract_z
La1 0.124 0.000 0.484
La2 0.173 0.000 0.881
Pm1 0.016 0.000 0.827
Pm2 0.240 0.000 0.321
Y1 0.000 0.500 0.500
Y2 0.106 0.500 0.141
# Crystal system: monoclinic



5.
# LaPmY3, relaxed, DFT PBE
data_LaPmY3
_cell_length_a 10.241
_cell_length_b 3.626
_cell_length_c 18.046
_cell_angle_alpha 90.00
_cell_angle_beta 90.00
_cell_angle_gamma 90.00
_space_group_name_H-M_alt 'P n m a'
_space_group_IT_number 62
loop_
_space_group_symop_operation_xyz
'x,y,z'
'-x,-y,-z'
'-x+1/2,-y,z+1/2'
'x+1/2,y,-z+1/2'
'x+1/2,-y+1/2,-z+1/2'
'-x+1/2,y+1/2,z+1/2'
'-x,y+1/2,-z'
'x,-y+1/2,z'
loop_
_atom_site_label
_atom_site_fract_x
_atom_site_fract_y
_atom_site_fract_z
La1 0.123 0.250 0.151
Pm1 0.125 0.250 0.549
Y1 0.123 0.250 0.351
Y2 0.127 0.250 0.949
Y3 0.128 0.250 0.751
# Crystal system: orthorhombic



6.
# LaPm3Y5, relaxed, DFT PBE
data_LaPm3Y5
_cell_length_a 8.765
_cell_length_b 8.765
_cell_length_c 15.701
_cell_angle_alpha 90.00
_cell_angle_beta 90.00
_cell_angle_gamma 90.00
_space_group_name_H-M_alt 'I 4/m c m'
_space_group_IT_number 140
_space_group_name_Hall '-I 4 2c'
loop_
_atom_site_label
_atom_site_fract_x
_atom_site_fract_y
_atom_site_fract_z
La1 0.000 0.500 0.250
Pm1 0.000 0.000 0.250
Pm2 0.118 0.382 0.000
Y1 0.000 0.000 0.000
Y2 0.206 0.294 0.364
# Crystal system: tetragonal



no.,calculated formation energy (meV per atom),magnetization (Bohr magnetons per cell)
1,50.1,0.00
2,117.9,0.00
3,559.6,1.32
4,70.7,0.00
5,16.4,0.00
6,228.1,0.00